Tl2ZnIn2 PBE relaxed; space-group type = R-3m; ΔE to the lowest computed polymorph = 0.000 eV/atom
1.0
1.775 1.025 12.297
-1.775 1.025 12.297
0.000 -2.049 12.297
Tl Zn In
2 1 2
Direct
0.128 0.128 0.128
0.872 0.872 0.872
0.000 0.000 0.000
0.389 0.389 0.389
0.611 0.611 0.611